Record 1
Computed, not measured: crystalline CeNdPa2Sb4 at its relaxed geometry at the PBE level of DFT.

a = 7.6754 Å, b = 4.4296 Å, c = 7.7212 Å
α = 90.00°, β = 109.33°, γ = 90.00°
Sites, in units of the cell vectors:
Ce 0.0000 0.0000 0.0000
Nd 0.5000 0.5000 0.0000
Pa 0.0000 0.5000 0.5000
Pa 0.5000 0.0000 0.5000
Sb 0.2463 0.0000 0.7411
Sb 0.2520 0.5000 0.2580
Sb 0.7480 0.5000 0.7420
Sb 0.7537 0.0000 0.2589

## Properties
DFT total energy in eV per atom: -6.544
M_tot in μB per formula unit: 2.59

=====

Record 2
Computed, not measured: crystalline HoCdRhO4 at its relaxed geometry at the PBE level of DFT.

a = 6.4555 Å, b = 6.4555 Å, c = 6.4555 Å
α = 119.04°, β = 116.78°, γ = 93.67°
Sites, in units of the cell vectors:
Ho 0.0000 0.0000 0.0000
Ho 0.5000 0.0000 0.5000
Cd 0.3672 0.6172 0.7500
Cd 0.6328 0.3828 0.2500
Rh 0.0000 0.0000 0.5000
Rh 0.0000 0.5000 0.0000
O 0.1954 0.7444 0.4510
O 0.2066 0.2556 0.9510
O 0.2381 0.2094 0.4713
O 0.2381 0.7668 0.0287
O 0.7619 0.2332 0.9713
O 0.7619 0.7906 0.5287
O 0.7934 0.7444 0.0490
O 0.8046 0.2556 0.5490

## Properties
DFT total energy in eV per atom: -6.459
M_tot in μB per formula unit: 0.00

=====

Record 3
Computed, not measured: crystalline MnHg2Ir at its relaxed geometry at the PBE level of DFT.

a = 2.9302 Å, b = 2.9302 Å, c = 9.4466 Å
α = 90.00°, β = 90.00°, γ = 117.16°
Sites, in units of the cell vectors:
Mn 0.0000 0.0000 0.0000
Hg 0.5000 0.5000 0.2484
Hg 0.5000 0.5000 0.7516
Ir 0.0000 0.0000 0.5000

## Properties
Excess energy over the best structure of this formula in the dataset in eV/atom: 0.311
M_tot in μB per formula unit: 3.69

=====

Record 4
Computed, not measured: crystalline CaSmSb2Pd5 at its relaxed geometry at the PBE level of DFT.

a = 4.6120 Å, b = 4.6120 Å, c = 8.7636 Å
α = 90.00°, β = 90.00°, γ = 90.00°
Sites, in units of the cell vectors:
Ca 0.0000 0.0000 0.0000
Sm 0.0000 0.0000 0.5000
Sb 0.5000 0.5000 0.3389
Sb 0.5000 0.5000 0.6611
Pd 0.0000 0.5000 0.2080
Pd 0.0000 0.5000 0.7920
Pd 0.5000 0.0000 0.2080
Pd 0.5000 0.0000 0.7920
Pd 0.5000 0.5000 0.0000

## Properties
DFT total energy in eV per atom: -5.210
M_tot in μB per formula unit: 0.00

=====

Record 5
Computed, not measured: crystalline Pr4TeRu at its relaxed geometry at the PBE level of DFT.

a = 8.5645 Å, b = 8.5645 Å, c = 6.5225 Å
α = 105.86°, β = 105.86°, γ = 113.88°
Sites, in units of the cell vectors:
Pr 0.0677 0.7012 0.9106
Pr 0.2108 0.3291 0.6917
Pr 0.2988 0.9323 0.5894
Pr 0.3291 0.2108 0.1917
Pr 0.6709 0.7892 0.8083
Pr 0.7012 0.0677 0.4106
Pr 0.7892 0.6709 0.3083
Pr 0.9323 0.2988 0.0894
Te 0.3704 0.6296 0.2500
Te 0.6296 0.3704 0.7500
Ru 0.0034 0.9966 0.7500
Ru 0.9966 0.0034 0.2500

## Properties
Excess energy over the best structure of this formula in the dataset in eV/atom: 0.000
M_tot in μB per formula unit: 0.00

=====

Record 6
Computed, not measured: crystalline TbCe2C2Cl2 at its relaxed geometry at the PBE level of DFT.

a = 7.7834 Å, b = 7.7834 Å, c = 7.7834 Å
α = 145.41°, β = 145.41°, γ = 49.72°
Sites, in units of the cell vectors:
Tb 0.0000 0.0000 0.0000
Ce 0.4037 0.4037 0.0000
Ce 0.5963 0.5963 0.0000
C 0.0000 0.5000 0.5000
C 0.5000 0.0000 0.5000
Cl 0.1987 0.1987 0.0000
Cl 0.8013 0.8013 0.0000

## Properties
DFT total energy in eV per atom: -6.303
M_tot in μB per formula unit: 1.07

=====

Record 7
Computed, not measured: crystalline MnIrBr2 at its relaxed geometry at the PBE level of DFT.

a = 3.5609 Å, b = 3.5822 Å, c = 7.7986 Å
α = 90.00°, β = 96.63°, γ = 90.00°
Sites, in units of the cell vectors:
Mn 0.0000 0.0000 0.0000
Ir 0.4761 0.5000 0.8998
Br 0.3564 0.0000 0.6652
Br 0.6990 0.5000 0.2160

## Properties
Excess energy over the best structure of this formula in the dataset in eV/atom: 0.000
M_tot in μB per formula unit: 4.00

=====

Record 8
Computed, not measured: crystalline Ac8LaDy4 at its relaxed geometry at the PBE level of DFT.

a = 8.3557 Å, b = 8.3557 Å, c = 8.3557 Å
α = 90.04°, β = 90.04°, γ = 90.04°
Sites, in units of the cell vectors:
Ac 0.2399 0.2399 0.2399
Ac 0.2400 0.2400 0.7595
Ac 0.2400 0.7595 0.2400
Ac 0.2405 0.7600 0.7600
Ac 0.7595 0.2400 0.2400
Ac 0.7600 0.2405 0.7600
Ac 0.7600 0.7600 0.2405
Ac 0.7601 0.7601 0.7601
La 0.5000 0.5000 0.5000
Dy 0.0000 0.0000 0.0000
Dy 0.0000 0.5000 0.5000
Dy 0.5000 0.0000 0.5000
Dy 0.5000 0.5000 0.0000

## Properties
DFT total energy in eV per atom: -3.928
M_tot in μB per formula unit: 0.00